<w>
DFT (PBE) results for a relaxed structure of MgZrCl2.

Cell: 6.7372 6.7372 6.7372 Å, 90.00 90.00 90.00°
Space group Fm-3m (No. 225)
Unique sites:
Mg 0.0000 0.0000 0.0000
Zr 0.0000 0.0000 0.5000
Cl 0.2500 0.2500 0.2500

Crystal system: cubic
Magnetization, μB/cell: 2.4



<x>
DFT (PBE) results for a relaxed structure of MgZrCl2.

Cell: 6.2189 8.3222 3.1677 Å, 90.00 90.00 90.00°
Space group Cmmm (No. 65)
Unique sites:
Mg 0.0000 0.0000 0.0000
Zr 0.0000 0.5000 0.0000
Cl 0.2500 0.2500 0.5000

Crystal system: orthorhombic
Magnetization, μB/cell: 0.0



<y>
DFT (PBE) results for a relaxed structure of MgZrCl2.

Cell: 11.8824 3.2083 6.1817 Å, 90.00 119.02 90.00°
Space group Cm (No. 8)
Unique sites:
Mg 0.0000 0.0000 0.0000
Zr 0.2186 0.5000 0.4760
Cl 0.1420 0.0000 0.7048
Cl 0.3393 0.0000 0.3352

Crystal system: monoclinic
Magnetization, μB/cell: 0.0



Referenced to the most stable arrangement, the calculated values in kJ/mol of atoms are <w> 43.9; <x> 45.1; <y> 0.0.



<w>
DFT (PBE) results for a relaxed structure of MgZrCl2.

Cell: 3.1976 4.4751 13.0151 Å, 90.00 90.00 90.00°
Space group Imm2 (No. 44)
Unique sites:
Mg 0.0000 0.0000 0.0000
Zr 0.0000 0.5000 0.7059
Cl 0.0000 0.0000 0.3791
Cl 0.0000 0.5000 0.1887

Crystal system: orthorhombic
Magnetization, μB/cell: 1.5



<x>
DFT (PBE) results for a relaxed structure of MgZrCl2.

Cell: 5.1148 3.4105 9.6544 Å, 90.00 90.00 90.00°
Space group Amm2 (No. 38)
Unique sites:
Mg 0.0000 0.0000 0.0000
Zr 0.5000 0.0000 0.6227
Cl 0.0000 0.0000 0.7276
Cl 0.5000 0.0000 0.3320

Crystal system: orthorhombic
Magnetization, μB/cell: 0.0



<y>
DFT (PBE) results for a relaxed structure of MgZrCl2.

Cell: 3.7469 3.7469 11.9440 Å, 90.00 90.00 90.00°
Space group I-4m2 (No. 119)
Unique sites:
Mg 0.0000 0.0000 0.0000
Zr 0.0000 0.5000 0.7500
Cl 0.0000 0.0000 0.5000
Cl 0.0000 0.5000 0.2500

Crystal system: tetragonal
Magnetization, μB/cell: 0.0



<z>
DFT (PBE) results for a relaxed structure of MgZrCl2.

Cell: 3.2835 3.2835 31.3822 Å, 90.00 90.00 120.00°
Space group R-3m (No. 166, hexagonal axes)
Unique sites:
Mg 0.0000 0.0000 0.0000
Zr 0.0000 0.0000 0.5000
Cl 0.0000 0.0000 0.2257

Crystal system: trigonal
Magnetization, μB/cell: 0.0



Referenced to the most stable arrangement, the calculated values in kJ/mol of atoms are <w> 32.1; <x> 23.8; <y> 55.3; <z> 0.0.



<w>
DFT (PBE) results for a relaxed structure of MgZrCl2.

Cell: 12.5700 3.1807 5.5886 Å, 90.00 107.72 90.00°
Space group C2/m (No. 12)
Unique sites:
Mg 0.0000 0.0000 0.0000
Zr 0.0000 0.5000 0.5000
Cl 0.1673 0.0000 0.6981

Crystal system: monoclinic
Magnetization, μB/cell: 0.0



<x>
DFT (PBE) results for a relaxed structure of MgZrCl2.

Cell: 4.9143 4.9143 3.2635 Å, 90.00 90.00 90.00°
Space group P4/mmm (No. 123)
Unique sites:
Mg 0.0000 0.0000 0.0000
Zr 0.5000 0.5000 0.0000
Cl 0.0000 0.5000 0.5000

Crystal system: tetragonal
Magnetization, μB/cell: 0.7



Referenced to the most stable arrangement, the calculated values in kJ/mol of atoms are <w> 0.0; <x> 54.3.



<w>
DFT (PBE) results for a relaxed structure of MgZrCl2.

Cell: 6.3360 8.8218 3.3114 Å, 90.00 115.57 90.00°
Space group C2/m (No. 12)
Unique sites:
Mg 0.0000 0.0000 0.0000
Zr 0.0000 0.5000 0.0000
Cl 0.2500 0.2500 0.0000

Crystal system: monoclinic
Magnetization, μB/cell: 0.0



<x>
DFT (PBE) results for a relaxed structure of MgZrCl2.

Cell: 3.1887 6.1234 10.0553 Å, 90.00 90.00 90.00°
Space group Cmmm (No. 65)
Unique sites:
Mg 0.0000 0.0000 0.0000
Zr 0.0000 0.0000 0.5000
Cl 0.0000 0.5000 0.2965

Crystal system: orthorhombic
Magnetization, μB/cell: 0.0



<y>
DFT (PBE) results for a relaxed structure of MgZrCl2.

Cell: 3.1953 3.1953 9.8331 Å, 90.00 90.00 90.00°
Space group P4/mmm (No. 123)
Unique sites:
Mg 0.0000 0.0000 0.0000
Zr 0.0000 0.0000 0.5000
Cl 0.5000 0.5000 0.3414

Crystal system: tetragonal
Magnetization, μB/cell: 0.2



Referenced to the most stable arrangement, the calculated values in kJ/mol of atoms are <w> 16.3; <x> 0.0; <y> 2.4.



<w>
DFT (PBE) results for a relaxed structure of MgZrCl2.

Cell: 4.4011 4.4011 8.1084 Å, 90.00 90.00 90.00°
Space group I4/mmm (No. 139)
Unique sites:
Mg 0.0000 0.0000 0.0000
Zr 0.0000 0.0000 0.5000
Cl 0.0000 0.5000 0.2500

Crystal system: tetragonal
Magnetization, μB/cell: 0.0



<x>
DFT (PBE) results for a relaxed structure of MgZrCl2.

Cell: 6.0307 6.0307 10.7620 Å, 90.00 90.00 90.00°
Space group I-42d (No. 122)
Unique sites:
Mg 0.0000 0.0000 0.0000
Zr 0.0000 0.0000 0.5000
Cl 0.2181 0.2500 0.1250

Crystal system: tetragonal
Magnetization, μB/cell: 0.0



Referenced to the most stable arrangement, the calculated values in kJ/mol of atoms are <w> 0.0; <x> 13.5.



<w>
DFT (PBE) results for a relaxed structure of MgZrCl2.

Cell: 3.3313 4.4891 5.7566 Å, 90.00 93.07 90.00°
Space group P2/m (No. 10)
Unique sites:
Mg 0.0000 0.0000 0.0000
Zr 0.5000 0.0000 0.5000
Cl 0.3112 0.5000 0.2607

Crystal system: monoclinic
Magnetization, μB/cell: 0.0



<x>
DFT (PBE) results for a relaxed structure of MgZrCl2.

Cell: 3.2787 3.2787 8.7227 Å, 90.00 90.00 90.00°
Space group P4mm (No. 99)
Unique sites:
Mg 0.0000 0.0000 0.0000
Zr 0.5000 0.5000 0.2542
Cl 0.0000 0.0000 0.4293
Cl 0.5000 0.5000 0.8483

Crystal system: tetragonal
Magnetization, μB/cell: 0.0



Referenced to the most stable arrangement, the calculated values in kJ/mol of atoms are <w> 25.6; <x> 0.0.